4
Lattice="-2.9722 3.5750 -1.0357 -2.9673 1.6708 3.3303 0.7193 4.3162 1.8817" Properties=species:S:1:pos:R:3 comment="LiPaSbRh, optimized geometry, DFT PBE" m_tot_mub_per_fu=0.00 e_form_raw_ev_per_atom=-0.464 pbc="T T T"
Li 0.0000 0.0000 0.0000
Rh -2.6101 4.7810 2.0881
Pa -3.9152 7.1715 3.1322
Sb -1.3051 2.3905 1.0441



8
Lattice="12.9190 0.0000 0.0000 0.0000 12.9190 0.0000 6.4595 6.4595 2.5953" Properties=species:S:1:pos:R:3 comment="K2MnPb, optimized geometry, DFT PBE" formation_enthalpy_0k_ev_per_atom=0.4389 m_tot_mub_per_fu=4.07 pbc="T T T"
K 9.6892 11.9699 1.9464
K 5.5104 9.6892 0.6488
K 7.4086 3.2297 0.6488
K 16.1487 13.8680 1.9464
Mn 6.4595 12.9190 1.2976
Mn 6.4595 6.4595 0.0000
Pb 0.0000 0.0000 0.0000
Pb 12.9190 6.4595 1.2976



12
Lattice="-3.7627 -0.8659 -0.2653 3.1444 -5.2525 0.7752 -1.5222 4.4889 6.9388" Properties=species:S:1:pos:R:3 comment="Zn5Cu5Au2, optimized geometry, DFT PBE" formation_enthalpy_0k_ev_per_atom=-0.0984 m_tot_mub_per_fu=0.00 relative_energy_ev_per_atom=0.003 pbc="T T T"
Zn -0.3318 0.3234 3.6505
Zn -1.8087 -1.9529 3.7982
Zn -2.4039 0.1191 5.4778
Zn 0.0000 0.0000 0.0000
Zn 0.2634 -1.7485 1.9709
Cu -0.6573 0.6003 7.3631
Cu -0.0991 -1.3242 5.7285
Cu -2.6424 1.8115 3.3368
Cu -2.0413 -0.3053 1.7202
Cu -1.4832 -2.2298 0.0857
Au -1.2129 -4.0320 2.1338
Au -0.9276 2.4025 5.3149